# 1
{"formula": "K2H6PbO6", "functional": "PBE", "state": "relaxed", "cell": [[5.7316, -0.2575, -0.1979], [1.7457, 5.4654, -0.1979], [1.7457, 1.2159, 5.3321]], "species": ["K", "K", "H", "H", "H", "H", "H", "H", "O", "O", "O", "O", "O", "O", "Pb"], "frac_coords": [[0.7004, 0.7004, 0.7004], [0.2996, 0.2996, 0.2996], [0.3790, 0.2373, 0.8129], [0.7627, 0.1871, 0.6210], [0.8129, 0.3790, 0.2373], [0.2373, 0.8129, 0.3790], [0.1871, 0.6210, 0.7627], [0.6210, 0.7627, 0.1871], [0.6997, 0.1941, 0.7992], [0.7992, 0.6997, 0.1941], [0.8059, 0.2008, 0.3003], [0.1941, 0.7992, 0.6997], [0.3003, 0.8059, 0.2008], [0.2008, 0.3003, 0.8059], [0.0000, 0.0000, 0.0000]], "spacegroup": "R-3 (148)", "e_tot_ev_per_atom": -4.914, "dos_at_fermi_per_ev_atom": 0.000}

***

# 2
{"formula": "PuHfNpN3", "functional": "PBE", "state": "relaxed", "cell": [[3.2508, 0.0000, 0.0000], [0.0000, 6.7587, 0.7131], [0.0000, -0.9135, 7.6738]], "species": ["N", "N", "N", "N", "N", "N", "Hf", "Hf", "Np", "Np", "Pu", "Pu"], "frac_coords": [[0.7500, 0.8539, 0.1495], [0.2500, 0.6109, 0.8668], [0.7500, 0.3301, 0.5779], [0.2500, 0.1461, 0.8505], [0.2500, 0.6699, 0.4221], [0.7500, 0.3891, 0.1332], [0.7500, 0.3863, 0.8436], [0.2500, 0.6137, 0.1564], [0.2500, 0.1375, 0.5276], [0.7500, 0.8625, 0.4724], [0.2500, 0.1312, 0.1577], [0.7500, 0.8688, 0.8423]], "e_form_raw_kcal_per_mol_atoms": -26.321, "spacegroup": "P2_1/m (11)", "e_tot_ev_per_atom": -11.508, "dos_at_fermi_per_ev_atom": 1.181}

***

# 3
{"formula": "Ho3AlFe8", "functional": "PBE", "state": "relaxed", "cell": [[-0.3993, -0.9140, 4.9229], [4.1285, -0.7817, 2.7522], [1.7428, 7.4686, 4.0906]], "species": ["Fe", "Fe", "Fe", "Fe", "Fe", "Fe", "Fe", "Fe", "Ho", "Ho", "Ho", "Al"], "frac_coords": [[0.9345, 0.4355, 0.1946], [0.6880, 0.6880, 0.9361], [0.9384, 0.4441, 0.6792], [0.4441, 0.9384, 0.6792], [0.4355, 0.9345, 0.1946], [0.9384, 0.9384, 0.6792], [0.1878, 0.1878, 0.4365], [0.4355, 0.4355, 0.1946], [0.3755, 0.3755, 0.8734], [0.9965, 0.9965, 0.0106], [0.5026, 0.5026, 0.4922], [0.8734, 0.8734, 0.3797]], "delta_e_f_mev_per_atom": -124, "spacegroup": "R3m (160)", "e_tot_ev_per_atom": -7.222, "dos_at_fermi_per_ev_atom": 1.020}

***

# 4
{"formula": "PmMnSi", "functional": "PBE", "state": "relaxed", "cell": [[-0.3826, -3.8955, -0.6073], [3.9348, -0.3371, -0.3172], [0.4902, -1.1949, 7.3607]], "species": ["Mn", "Mn", "Pm", "Pm", "Si", "Si"], "frac_coords": [[0.8136, 0.3664, 0.9196], [0.3135, 0.8665, 0.9196], [0.8135, 0.8664, 0.5932], [0.3137, 0.3666, 0.2460], [0.3135, 0.3664, 0.7328], [0.8137, 0.8665, 0.1064]], "e_form_raw_kcal_per_mol_atoms": -11.886, "spacegroup": "P4/nmm (129)", "e_tot_ev_per_atom": -6.963, "polymorph_energy_mev_per_atom": 0.0, "dos_at_fermi_per_ev_atom": 0.733}

***

# 5
{"formula": "NdSm2Si", "functional": "PBE", "state": "relaxed", "cell": [[-0.7614, 5.5506, -3.1284], [-4.2011, -3.7121, -5.5639], [-7.7819, 1.6309, 4.7877]], "species": ["Si", "Si", "Si", "Si", "Nd", "Nd", "Nd", "Nd", "Sm", "Sm", "Sm", "Sm", "Sm", "Sm", "Sm", "Sm"], "frac_coords": [[0.9270, 0.6186, 0.7500], [0.0730, 0.3814, 0.2500], [0.5730, 0.1186, 0.7500], [0.4270, 0.8814, 0.2500], [0.1298, 0.9691, 0.7500], [0.3702, 0.4691, 0.7500], [0.6298, 0.5309, 0.2500], [0.8702, 0.0309, 0.2500], [0.3676, 0.1854, 0.0548], [0.1324, 0.6854, 0.0548], [0.1324, 0.6854, 0.4452], [0.6324, 0.8146, 0.9452], [0.6324, 0.8146, 0.5548], [0.8676, 0.3146, 0.5548], [0.3676, 0.1854, 0.4452], [0.8676, 0.3146, 0.9452]], "e_form_raw_kcal_per_mol_atoms": -8.497, "spacegroup": "Pnma (62)", "e_tot_ev_per_atom": -5.276, "polymorph_energy_mev_per_atom": 0.0, "dos_at_fermi_per_ev_atom": 1.251}

***

# 6
{"formula": "KU2S4", "functional": "PBE", "state": "relaxed", "cell": [[4.0107, 0.0000, 0.0000], [0.0000, 6.8540, -0.0879], [0.0000, 0.1709, 7.8666]], "species": ["S", "S", "S", "S", "U", "U", "K"], "frac_coords": [[0.5000, 0.1603, 0.1913], [0.0000, 0.6659, 0.1853], [0.0000, 0.3341, 0.8147], [0.5000, 0.8397, 0.8087], [0.5000, 0.5000, 0.0000], [0.0000, 0.0000, 0.0000], [0.0000, 0.0000, 0.5000]], "e_form_raw_kcal_per_mol_atoms": -32.502, "spacegroup": "P2/m (10)", "e_tot_ev_per_atom": -7.150, "polymorph_energy_mev_per_atom": 0.0, "dos_at_fermi_per_ev_atom": 1.056}

***

# 7
{"formula": "BaNaSr2Br", "functional": "PBE", "state": "relaxed", "cell": [[6.1963, 0.0000, 0.0000], [0.0000, 6.1963, 0.0000], [0.0000, 0.0000, 6.6531]], "species": ["Na", "Sr", "Sr", "Br", "Ba"], "frac_coords": [[0.5000, 0.5000, 0.5000], [0.0000, 0.5000, 0.0000], [0.5000, 0.0000, 0.0000], [0.0000, 0.0000, 0.0000], [0.0000, 0.0000, 0.5000]], "e_form_raw_kcal_per_mol_atoms": -9.572, "spacegroup": "P4/mmm (123)", "e_tot_ev_per_atom": -2.071, "dos_at_fermi_per_ev_atom": 1.447}

***

# 8
{"formula": "KTlHgBi", "functional": "PBE", "state": "relaxed", "cell": [[-4.4045, -1.4661, -3.2319], [-3.3972, -4.2304, 1.5991], [-5.2702, 1.1052, 1.7313]], "species": ["Tl", "Bi", "Hg", "K"], "frac_coords": [[0.0000, 0.0000, 0.0000], [0.2500, 0.2500, 0.2500], [0.5000, 0.5000, 0.5000], [0.7500, 0.7500, 0.7500]], "delta_e_f_mev_per_atom": -175, "spacegroup": "F-43m (216)", "e_tot_ev_per_atom": -2.086, "dos_at_fermi_per_ev_atom": 0.921}

***

# 9
{"formula": "Pm3Ho4ErS8", "functional": "PBE", "state": "relaxed", "cell": [[-4.8941, -3.6062, -4.9806], [4.4948, -6.4920, 0.2838], [-2.7685, 3.1289, 6.6554]], "species": ["S", "S", "S", "S", "S", "S", "S", "S", "Pm", "Pm", "Pm", "Ho", "Ho", "Ho", "Ho", "Er"], "frac_coords": [[0.2494, 0.7592, 0.4989], [0.7506, 0.2408, 0.5011], [0.2450, 0.2351, 0.4900], [0.2396, 0.2408, 0.9902], [0.7550, 0.7649, 0.5100], [0.7506, 0.2408, 0.9902], [0.2494, 0.7592, 0.0098], [0.7604, 0.7592, 0.0098], [0.0000, 0.5000, 0.5000], [0.5000, 0.5000, 0.0000], [0.5000, 0.5000, 0.5000], [0.0000, 0.0000, 0.5000], [0.0000, 0.0000, 0.0000], [0.5000, 0.0000, 0.5000], [0.5000, 0.0000, 0.0000], [0.0000, 0.5000, 0.0000]], "e_form_raw_kcal_per_mol_atoms": -45.874, "spacegroup": "R-3m (166)", "e_tot_ev_per_atom": -6.373, "dos_at_fermi_per_ev_atom": 0.512}

***

# 10
{"formula": "BeP2IrCl", "functional": "PBE", "state": "relaxed", "cell": [[-3.2525, 1.6185, 2.0682], [-2.6100, -2.3574, -2.2597], [0.3006, -3.1451, 2.9338]], "species": ["Ir", "P", "P", "Cl", "Be"], "frac_coords": [[0.5000, 0.5000, 0.5000], [0.5000, 0.0000, 0.0000], [0.0000, 0.5000, 0.0000], [0.0000, 0.0000, 0.5000], [0.0000, 0.0000, 0.0000]], "e_form_raw_kcal_per_mol_atoms": 20.439, "spacegroup": "P4/mmm (123)", "e_tot_ev_per_atom": -4.164, "dos_at_fermi_per_ev_atom": 0.480}

***

# 11
{"formula": "SrNdGaS4", "functional": "PBE", "state": "relaxed", "cell": [[6.6412, 0.0000, 0.0755], [0.0000, 6.6977, 0.0000], [-2.5026, 0.0000, 7.7599]], "species": ["Nd", "Nd", "Ga", "Ga", "Sr", "Sr", "S", "S", "S", "S", "S", "S", "S", "S"], "frac_coords": [[0.7764, 0.7500, 0.4446], [0.2236, 0.2500, 0.5554], [0.2370, 0.7500, 0.3135], [0.7630, 0.2500, 0.6865], [0.2549, 0.2500, 0.0631], [0.7451, 0.7500, 0.9369], [0.4364, 0.7500, 0.5921], [0.9995, 0.4937, 0.2617], [0.0005, 0.9937, 0.7383], [0.9995, 0.0063, 0.2617], [0.0005, 0.5063, 0.7383], [0.5636, 0.2500, 0.4079], [0.5641, 0.2500, 0.8680], [0.4359, 0.7500, 0.1320]], "e_form_raw_kcal_per_mol_atoms": -36.505, "spacegroup": "P2_1/m (11)", "e_tot_ev_per_atom": -5.295, "dos_at_fermi_per_ev_atom": 0.000}

***

# 12
{"formula": "SrMnZn2Cr", "functional": "PBE", "state": "relaxed", "cell": [[4.9663, 0.0000, 0.0000], [0.0000, 4.3912, 0.0000], [0.0000, 0.0000, 4.9663]], "species": ["Zn", "Zn", "Mn", "Sr", "Cr"], "frac_coords": [[0.0000, 0.0000, 0.5000], [0.5000, 0.0000, 0.0000], [0.0000, 0.5000, 0.0000], [0.5000, 0.5000, 0.5000], [0.0000, 0.0000, 0.0000]], "delta_e_f_mev_per_atom": 335, "spacegroup": "P4/mmm (123)", "e_tot_ev_per_atom": -4.270, "dos_at_fermi_per_ev_atom": 0.552}

***

# 13
{"formula": "CdNiRu2", "functional": "PBE", "state": "relaxed", "cell": [[9.0597, 0.0031, 0.0018], [8.6367, 2.7357, 0.0018], [8.6367, 1.3367, 2.3870]], "species": ["Ru", "Ru", "Ni", "Cd"], "frac_coords": [[0.0007, 0.0007, 0.0007], [0.2574, 0.2574, 0.2574], [0.7448, 0.7448, 0.7448], [0.4971, 0.4971, 0.4971]], "delta_e_f_mev_per_atom": 235, "spacegroup": "R3m (160)", "e_tot_ev_per_atom": -6.077, "dos_at_fermi_per_ev_atom": 1.236}

***

# 14
{"formula": "CoAs", "functional": "PBE", "state": "relaxed", "cell": [[9.3983, 0.0014, 0.0008], [8.9590, 2.8399, 0.0008], [8.9590, 1.3867, 2.4784]], "species": ["As", "As", "Co", "Co"], "frac_coords": [[0.7788, 0.7788, 0.7788], [0.9712, 0.9712, 0.9712], [0.2436, 0.2436, 0.2436], [0.5064, 0.5064, 0.5064]], "delta_e_f_mev_per_atom": 178, "spacegroup": "R-3m (166)", "e_tot_ev_per_atom": -5.700, "dos_at_fermi_per_ev_atom": 0.878}

***

# 15
{"formula": "Ce3Mg2Ru4", "functional": "PBE", "state": "relaxed", "cell": [[4.6874, 0.0000, 0.0000], [-2.3437, 4.5273, 0.0853], [0.0000, -0.3370, 9.1694]], "species": ["Ru", "Ru", "Ru", "Ru", "Ce", "Ce", "Ce", "Mg", "Mg"], "frac_coords": [[0.8943, 0.7885, 0.3663], [0.7544, 0.5089, 0.0770], [0.1057, 0.2115, 0.6337], [0.2456, 0.4911, 0.9230], [0.0000, 0.0000, 0.0000], [0.6406, 0.2813, 0.4038], [0.3594, 0.7187, 0.5962], [0.6705, 0.3410, 0.7828], [0.3295, 0.6590, 0.2172]], "delta_e_f_mev_per_atom": -274, "spacegroup": "C2/m (12)", "e_tot_ev_per_atom": -6.729, "dos_at_fermi_per_ev_atom": 0.919}

***

# 16
{"formula": "InCuHgRu2", "functional": "PBE", "state": "relaxed", "cell": [[4.9604, 0.0000, 0.0000], [0.0000, 5.1981, 0.0000], [0.0000, 0.0000, 4.9604]], "species": ["Ru", "Ru", "Hg", "In", "Cu"], "frac_coords": [[0.5000, 0.0000, 0.0000], [0.0000, 0.0000, 0.5000], [0.0000, 0.5000, 0.0000], [0.0000, 0.0000, 0.0000], [0.5000, 0.5000, 0.5000]], "delta_e_f_mev_per_atom": 1867, "spacegroup": "P4/mmm (123)", "e_tot_ev_per_atom": -3.270, "dos_at_fermi_per_ev_atom": 1.192}

***

# 17
{"formula": "TlW", "functional": "PBE", "state": "relaxed", "cell": [[4.8248, 0.0000, 0.0000], [2.4124, 4.1784, 0.0000], [2.4124, 1.3928, 3.9394]], "species": ["Tl", "Tl", "W", "W"], "frac_coords": [[0.0000, 0.0000, 0.0000], [0.2500, 0.2500, 0.2500], [0.7500, 0.7500, 0.7500], [0.5000, 0.5000, 0.5000]], "delta_e_f_mev_per_atom": 1319, "spacegroup": "Fd-3m (227)", "e_tot_ev_per_atom": -6.341, "polymorph_energy_mev_per_atom": 694.7, "dos_at_fermi_per_ev_atom": 0.499}

***

# 18
{"formula": "TmPu3In4", "functional": "PBE", "state": "relaxed", "cell": [[-1.0139, 1.7859, -4.2334], [-4.5310, -0.4254, 0.9058], [-0.0784, 8.6044, 3.6486]], "species": ["Pu", "Pu", "Pu", "In", "In", "In", "In", "Tm"], "frac_coords": [[0.5000, 0.0000, 0.7336], [0.5000, 0.0000, 0.2664], [0.5000, 0.5000, 0.5000], [0.0000, 0.0000, 0.0000], [0.0000, 0.5000, 0.2464], [0.0000, 0.5000, 0.7536], [0.0000, 0.0000, 0.5000], [0.5000, 0.5000, 0.0000]], "delta_e_f_mev_per_atom": -173, "spacegroup": "Pmmm (47)", "e_tot_ev_per_atom": -7.476, "dos_at_fermi_per_ev_atom": 3.921}

***

# 19
{"formula": "ZnNi6Rh", "functional": "PBE", "state": "relaxed", "cell": [[3.6049, 0.0000, 0.0000], [0.0000, 3.6049, 0.0000], [0.0000, 0.0000, 7.1779]], "species": ["Zn", "Ni", "Ni", "Ni", "Ni", "Ni", "Ni", "Rh"], "frac_coords": [[0.0000, 0.0000, 0.0000], [0.0000, 0.5000, 0.2485], [0.5000, 0.5000, 0.0000], [0.5000, 0.5000, 0.5000], [0.5000, 0.0000, 0.2485], [0.5000, 0.0000, 0.7515], [0.0000, 0.5000, 0.7515], [0.0000, 0.0000, 0.5000]], "delta_e_f_mev_per_atom": -50, "spacegroup": "P4/mmm (123)", "e_tot_ev_per_atom": -5.464, "polymorph_energy_mev_per_atom": 1.3, "dos_at_fermi_per_ev_atom": 1.211}

***

# 20
{"formula": "Pm6Pr2Ho3", "functional": "PBE", "state": "relaxed", "cell": [[4.8023, 0.0000, 0.0000], [0.0000, 4.8023, 0.0000], [-2.4011, -2.4011, 17.0315]], "species": ["Pm", "Pm", "Pm", "Pm", "Pm", "Pm", "Ho", "Ho", "Ho", "Pr", "Pr"], "frac_coords": [[0.1224, 0.6224, 0.2449], [0.6997, 0.6997, 0.3995], [0.3003, 0.3003, 0.6005], [0.8776, 0.3776, 0.7551], [0.3776, 0.8776, 0.7551], [0.6224, 0.1224, 0.2449], [0.1993, 0.1993, 0.3986], [0.8007, 0.8007, 0.6014], [0.0000, 0.0000, 0.0000], [0.4543, 0.4543, 0.9086], [0.5457, 0.5457, 0.0914]], "delta_e_f_mev_per_atom": 277, "spacegroup": "I4/mmm (139)", "e_tot_ev_per_atom": -4.432, "polymorph_energy_mev_per_atom": 110.1, "dos_at_fermi_per_ev_atom": 1.440}

***

# 21
{"formula": "ErPu2Tl3Te6", "functional": "PBE", "state": "relaxed", "cell": [[7.7529, -0.0004, 0.0007], [-3.8749, 6.7151, 0.0007], [-1.2925, -2.2380, 8.1526]], "species": ["Pu", "Pu", "Te", "Te", "Te", "Te", "Te", "Te", "Er", "Tl", "Tl", "Tl"], "frac_coords": [[0.3336, 0.6664, 0.0000], [0.6664, 0.3336, 0.0000], [0.9291, 0.6001, 0.7870], [0.3999, 0.0709, 0.2130], [0.6001, 0.9291, 0.7870], [0.7425, 0.7425, 0.2142], [0.0709, 0.3999, 0.2130], [0.2575, 0.2575, 0.7858], [0.0000, 0.0000, 0.0000], [0.5000, 0.5000, 0.5000], [0.1681, 0.8319, 0.5000], [0.8319, 0.1681, 0.5000]], "e_form_raw_kcal_per_mol_atoms": -19.888, "spacegroup": "C2/m (12)", "e_tot_ev_per_atom": -5.794, "dos_at_fermi_per_ev_atom": 2.259}

***

# 22
{"formula": "Pr4DyHo6", "functional": "PBE", "state": "relaxed", "cell": [[7.4947, -2.8897, -5.4717], [-5.1693, 8.0192, 1.8528], [-1.8627, 2.8897, 9.0907]], "species": ["Pr", "Pr", "Pr", "Pr", "Ho", "Ho", "Ho", "Ho", "Ho", "Ho", "Dy"], "frac_coords": [[0.3808, 0.3663, 0.3663], [0.0000, 0.6337, 0.0145], [0.6192, 0.9855, 0.9855], [0.0000, 0.0145, 0.6337], [0.6454, 0.2001, 0.2001], [0.5000, 0.0000, 0.5000], [0.0000, 0.4453, 0.7999], [0.5000, 0.5000, 0.0000], [0.0000, 0.7999, 0.4453], [0.3546, 0.5547, 0.5547], [0.0000, 0.0000, 0.0000]], "delta_e_f_mev_per_atom": 294, "spacegroup": "I-42m (121)", "e_tot_ev_per_atom": -4.359, "polymorph_energy_mev_per_atom": 0.0, "dos_at_fermi_per_ev_atom": 1.293}

***

# 23
{"formula": "Rb2Pt3Pb9", "functional": "PBE", "state": "relaxed", "cell": [[7.8808, -0.0450, -3.2583], [-4.6318, 7.2621, -0.0234], [1.1876, 0.7681, 13.5640]], "species": ["Pt", "Pt", "Pt", "Pt", "Pt", "Pt", "Pb", "Pb", "Pb", "Pb", "Pb", "Pb", "Pb", "Pb", "Pb", "Pb", "Pb", "Pb", "Pb", "Pb", "Pb", "Pb", "Pb", "Pb", "Rb", "Rb", "Rb", "Rb"], "frac_coords": [[0.4995, 0.0014, 0.9986], [0.4871, 0.4949, 0.4814], [0.1617, 0.8299, 0.4811], [0.8389, 0.1724, 0.5221], [0.1733, 0.3310, 0.0235], [0.8316, 0.6759, 0.9864], [0.3371, 0.2919, 0.2498], [0.5215, 0.1849, 0.5632], [0.2299, 0.5424, 0.5678], [0.1263, 0.8724, 0.2596], [0.8015, 0.3076, 0.9337], [0.2031, 0.6973, 0.0666], [0.5504, 0.0775, 0.2367], [0.4394, 0.6330, 0.9346], [0.4758, 0.8267, 0.4329], [0.8696, 0.1237, 0.7382], [0.1308, 0.9975, 0.9340], [0.7871, 0.4590, 0.4302], [0.6724, 0.7087, 0.7629], [0.0997, 0.1450, 0.4303], [0.8783, 0.8373, 0.5663], [0.5614, 0.3658, 0.0680], [0.4549, 0.9220, 0.7645], [0.8686, 0.0097, 0.0709], [0.9915, 0.5766, 0.7479], [0.3320, 0.2542, 0.7481], [0.6610, 0.7372, 0.2500], [0.0157, 0.4242, 0.2505]], "delta_e_f_mev_per_atom": -117, "spacegroup": "P1 (1)", "e_tot_ev_per_atom": -3.934, "dos_at_fermi_per_ev_atom": 0.448}